An optimized crystal structure of HOsIO, computed with GGA-PBE.

POSCAR file:
```
HOsIO
1.0
3.0277 0.0000 -0.0010
-0.0001 3.7377 0.0000
-1.3129 -1.8084 6.3886
I O Os H
1 1 1 1
Direct
0.1870 0.7626 0.5409 I
0.5230 0.0803 0.1629 O
0.5251 0.5826 0.1677 Os
0.9525 0.5019 0.0011 H
```

Computed properties:
- D(E_F): 1.34 states/eV/f.u.
- Distance to the lowest polymorph of the same formula: 0.40 eV per formula unit
- Calculated total energy: -21.21 eV for the cell shown
- Crystal system: triclinic